1.
# GGA-PBE BaS, relaxed
# * E_tot: -39.009 eV per cell
# * magnetic moment: 0.00 μB per formula unit
# * E_form (uncorrected): -1851.0 meV/atom
# * energy above the lowest structure with this stoichiometry: 0.460 eV/f.u.
data_BaS
_chemical_formula_sum 'Ba4 S4'
_space_group_name_H-M_alt 'F -4 3 m'
_space_group_IT_number 216
_space_group_name_Hall 'F -4 2 3'
_cell_length_a 7.069
_cell_length_b 7.069
_cell_length_c 7.069
_cell_angle_alpha 90.00
_cell_angle_beta 90.00
_cell_angle_gamma 90.00
loop_
_atom_site_label
_atom_site_fract_x
_atom_site_fract_y
_atom_site_fract_z
_atom_site_occupancy
Ba1 0.000 0.000 0.000 1
S1 0.250 0.250 0.250 1


2.
# GGA-PBE Th2ZnIn8, relaxed
# * DFT formation energy: -2.321 eV per formula unit
# * E_tot: -40.342 eV per cell
# * magnetic moment: 0.00 μB per formula unit
data_Th2ZnIn8
_chemical_formula_sum 'Th2 Zn1 In8'
_space_group_name_H-M_alt 'P 4/m m m'
_space_group_IT_number 123
_space_group_name_Hall '-P 4 2'
_cell_length_a 4.822
_cell_length_b 4.822
_cell_length_c 12.322
_cell_angle_alpha 90.00
_cell_angle_beta 90.00
_cell_angle_gamma 90.00
loop_
_atom_site_label
_atom_site_fract_x
_atom_site_fract_y
_atom_site_fract_z
_atom_site_occupancy
Th1 0.000 0.000 0.186 1
Zn1 0.000 0.000 0.500 1
In1 0.000 0.500 0.000 1
In2 0.000 0.500 0.375 1
In3 0.500 0.500 0.188 1


3.
# GGA-PBE TiNb3Ga2, relaxed
# * DFT formation energy: -1.633 eV per formula unit
# * E_tot: -91.581 eV per cell
# * magnetic moment: 0.00 μB per formula unit
# * energy above the lowest structure with this stoichiometry: 0.000 eV/f.u.
data_TiNb3Ga2
_chemical_formula_sum 'Ti2 Nb6 Ga4'
_space_group_name_H-M_alt 'C m m m'
_space_group_IT_number 65
_space_group_name_Hall '-C 2 2'
_cell_length_a 3.748
_cell_length_b 13.285
_cell_length_c 4.083
_cell_angle_alpha 90.00
_cell_angle_beta 90.00
_cell_angle_gamma 90.00
loop_
_atom_site_label
_atom_site_fract_x
_atom_site_fract_y
_atom_site_fract_z
_atom_site_occupancy
Ti1 0.000 0.000 0.000 1
Nb1 0.000 0.170 0.500 1
Nb2 0.000 0.500 0.500 1
Ga1 0.000 0.341 0.000 1


4.
# GGA-PBE LiMnS2, relaxed
# * E_tot: -81.854 eV per cell
# * magnetic moment: 0.00 μB per formula unit
# * E_form (uncorrected): -281.3 meV/atom
data_LiMnS2
_chemical_formula_sum 'Li4 Mn4 S8'
_space_group_name_H-M_alt 'F m -3 m'
_space_group_IT_number 225
_space_group_name_Hall '-F 4 2 3'
_cell_length_a 5.826
_cell_length_b 5.826
_cell_length_c 5.826
_cell_angle_alpha 90.00
_cell_angle_beta 90.00
_cell_angle_gamma 90.00
loop_
_atom_site_label
_atom_site_fract_x
_atom_site_fract_y
_atom_site_fract_z
_atom_site_occupancy
Li1 0.000 0.000 0.000 1
Mn1 0.000 0.000 0.500 1
S1 0.250 0.250 0.250 1


5.
# GGA-PBE KScSi2, relaxed
# * E_tot: -17.199 eV per cell
# * magnetic moment: 0.36 μB per formula unit
# * E_form (uncorrected): 269.0 meV/atom
# * energy above the lowest structure with this stoichiometry: 2.072 eV/f.u.
data_KScSi2
_chemical_formula_sum 'K1 Sc1 Si2'
_space_group_name_H-M_alt 'P 4/m m m'
_space_group_IT_number 123
_space_group_name_Hall '-P 4 2'
_cell_length_a 5.404
_cell_length_b 5.404
_cell_length_c 2.950
_cell_angle_alpha 90.00
_cell_angle_beta 90.00
_cell_angle_gamma 90.00
loop_
_atom_site_label
_atom_site_fract_x
_atom_site_fract_y
_atom_site_fract_z
_atom_site_occupancy
K1 0.000 0.000 0.000 1
Sc1 0.500 0.500 0.000 1
Si1 0.000 0.500 0.500 1


6.
# GGA-PBE CeNdYZr, relaxed
# * DFT formation energy: 1.059 eV per formula unit
# * E_tot: -98.622 eV per cell
# * magnetic moment: 3.18 μB per formula unit
data_CeNdYZr
_chemical_formula_sum 'Ce4 Nd4 Y4 Zr4'
_space_group_name_H-M_alt 'F -4 3 m'
_space_group_IT_number 216
_space_group_name_Hall 'F -4 2 3'
_cell_length_a 7.842
_cell_length_b 7.842
_cell_length_c 7.842
_cell_angle_alpha 90.00
_cell_angle_beta 90.00
_cell_angle_gamma 90.00
loop_
_atom_site_label
_atom_site_fract_x
_atom_site_fract_y
_atom_site_fract_z
_atom_site_occupancy
Ce1 0.000 0.000 0.000 1
Nd1 0.250 0.250 0.750 1
Y1 0.000 0.000 0.500 1
Zr1 0.250 0.250 0.250 1


7.
# GGA-PBE ZrF, relaxed
# * E_tot: -111.520 eV per cell
# * magnetic moment: 0.00 μB per formula unit
# * E_form (uncorrected): -1760.3 meV/atom
# * energy above the lowest structure with this stoichiometry: 0.998 eV/f.u.
data_ZrF
_chemical_formula_sum 'Zr8 F8'
_space_group_name_H-M_alt 'P n m a'
_space_group_IT_number 62
_cell_length_a 8.461
_cell_length_b 5.419
_cell_length_c 6.054
_cell_angle_alpha 90.00
_cell_angle_beta 90.00
_cell_angle_gamma 90.00
loop_
_space_group_symop_operation_xyz
'x,y,z'
'-x,-y,-z'
'-x+1/2,-y,z+1/2'
'x+1/2,y,-z+1/2'
'x+1/2,-y+1/2,-z+1/2'
'-x+1/2,y+1/2,z+1/2'
'-x,y+1/2,-z'
'x,-y+1/2,z'
loop_
_atom_site_label
_atom_site_fract_x
_atom_site_fract_y
_atom_site_fract_z
_atom_site_occupancy
Zr1 0.023 0.250 0.136 1
Zr2 0.075 0.750 0.372 1
F1 0.166 0.250 0.811 1
F2 0.214 0.750 0.698 1


8.
# GGA-PBE CsSiTeCSe, relaxed
# * E_tot: -21.994 eV per cell
# * magnetic moment: 0.01 μB per formula unit
# * E_form (uncorrected): 26.6 meV/atom
# * energy above the lowest structure with this stoichiometry: 0.102 eV/f.u.
data_CsSiTeCSe
_chemical_formula_sum 'Cs1 Si1 Te1 C1 Se1'
_space_group_name_H-M_alt 'P 1'
_space_group_IT_number 1
_cell_length_a 3.277
_cell_length_b 5.359
_cell_length_c 8.502
_cell_angle_alpha 94.36
_cell_angle_beta 101.06
_cell_angle_gamma 107.73
loop_
_space_group_symop_operation_xyz
'x,y,z'
loop_
_atom_site_label
_atom_site_fract_x
_atom_site_fract_y
_atom_site_fract_z
_atom_site_occupancy
Cs1 0.000 0.000 0.000 1
Si1 0.659 0.811 0.507 1
Te1 0.522 0.369 0.677 1
C1 0.266 0.958 0.574 1
Se1 0.423 0.596 0.247 1


9.
# GGA-PBE LiPrThCd, relaxed
# * DFT formation energy: 0.054 eV per formula unit
# * E_tot: -59.897 eV per cell
# * magnetic moment: 0.00 μB per formula unit
data_LiPrThCd
_chemical_formula_sum 'Li4 Pr4 Th4 Cd4'
_space_group_name_H-M_alt 'F -4 3 m'
_space_group_IT_number 216
_space_group_name_Hall 'F -4 2 3'
_cell_length_a 7.639
_cell_length_b 7.639
_cell_length_c 7.639
_cell_angle_alpha 90.00
_cell_angle_beta 90.00
_cell_angle_gamma 90.00
loop_
_atom_site_label
_atom_site_fract_x
_atom_site_fract_y
_atom_site_fract_z
_atom_site_occupancy
Li1 0.000 0.000 0.000 1
Pr1 0.250 0.250 0.250 1
Th1 0.250 0.250 0.750 1
Cd1 0.000 0.000 0.500 1


10.
# GGA-PBE CuSb, relaxed
# * E_tot: -46.685 eV per cell
# * magnetic moment: 0.00 μB per formula unit
# * E_form (uncorrected): 218.8 meV/atom
data_CuSb
_chemical_formula_sum 'Cu6 Sb6'
_space_group_name_H-M_alt 'P 63/m'
_space_group_IT_number 176
_space_group_name_Hall '-P 6c'
_cell_length_a 8.5708
_cell_length_b 8.5708
_cell_length_c 4.2417
_cell_angle_alpha 90.00
_cell_angle_beta 90.00
_cell_angle_gamma 120.00
loop_
_atom_site_label
_atom_site_fract_x
_atom_site_fract_y
_atom_site_fract_z
_atom_site_occupancy
Cu1 0.1405 0.5109 0.2500 1
Sb1 0.0181 0.7274 0.2500 1


11.
# GGA-PBE La2SbCl2, relaxed
# * E_tot: -80.179 eV per cell
# * magnetic moment: 0.00 μB per formula unit
# * E_form (uncorrected): -1811.2 meV/atom
data_La2SbCl2
_chemical_formula_sum 'La6 Sb3 Cl6'
_space_group_name_H-M_alt 'R -3 m'
_space_group_IT_number 166
_space_group_name_Hall '-R 3 2"'
_cell_length_a 4.4310
_cell_length_b 4.4310
_cell_length_c 30.9092
_cell_angle_alpha 90.00
_cell_angle_beta 90.00
_cell_angle_gamma 120.00
loop_
_atom_site_label
_atom_site_fract_x
_atom_site_fract_y
_atom_site_fract_z
_atom_site_occupancy
La1 0.0000 0.0000 0.1062 1
Sb1 0.0000 0.0000 0.5000 1
Cl1 0.0000 0.0000 0.2774 1


12.
# GGA-PBE Sm8SiIr3Br4, relaxed
# * E_tot: -279.825 eV per cell
# * magnetic moment: 0.00 μB per formula unit
# * E_form (uncorrected): -1051.5 meV/atom
data_Sm8SiIr3Br4
_chemical_formula_sum 'Sm24 Si3 Ir9 Br12'
_space_group_name_H-M_alt 'R -3 m'
_space_group_IT_number 166
_space_group_name_Hall '-R 3 2"'
_cell_length_a 8.3387
_cell_length_b 8.3387
_cell_length_c 22.8186
_cell_angle_alpha 90.00
_cell_angle_beta 90.00
_cell_angle_gamma 120.00
loop_
_atom_site_label
_atom_site_fract_x
_atom_site_fract_y
_atom_site_fract_z
_atom_site_occupancy
Sm1 0.0000 0.0000 0.2325 1
Sm2 0.0116 0.5058 0.7679 1
Si1 0.0000 0.0000 0.5000 1
Ir1 0.0000 0.5000 0.5000 1
Br1 0.0000 0.0000 0.0000 1
Br2 0.0000 0.5000 0.0000 1


13.
# GGA-PBE SrMnW, relaxed
# * DFT formation energy: 4.353 eV per formula unit
# * E_tot: -77.808 eV per cell
# * magnetic moment: 0.85 μB per formula unit
# * energy above the lowest structure with this stoichiometry: 2.242 eV/f.u.
data_SrMnW
_chemical_formula_sum 'Sr4 Mn4 W4'
_space_group_name_H-M_alt 'F -4 3 m'
_space_group_IT_number 216
_space_group_name_Hall 'F -4 2 3'
_cell_length_a 6.546
_cell_length_b 6.546
_cell_length_c 6.546
_cell_angle_alpha 90.00
_cell_angle_beta 90.00
_cell_angle_gamma 90.00
loop_
_atom_site_label
_atom_site_fract_x
_atom_site_fract_y
_atom_site_fract_z
_atom_site_occupancy
Sr1 0.000 0.000 0.000 1
Mn1 0.250 0.250 0.750 1
W1 0.000 0.000 0.500 1


14.
# GGA-PBE Ba6CdIn2O, relaxed
# * E_tot: -56.147 eV per cell
# * magnetic moment: 0.06 μB per formula unit
# * E_form (uncorrected): -518.7 meV/atom
data_Ba6CdIn2O
_chemical_formula_sum 'Ba12 Cd2 In4 O2'
_space_group_name_H-M_alt 'P m m n'
_space_group_IT_number 59
_cell_length_a 8.337
_cell_length_b 11.691
_cell_length_c 9.219
_cell_angle_alpha 90.00
_cell_angle_beta 90.00
_cell_angle_gamma 90.00
loop_
_space_group_symop_operation_xyz
'x,y,z'
'-x,-y,-z'
'-x+1/2,-y+1/2,z'
'x+1/2,y+1/2,-z'
'x+1/2,-y,-z'
'-x+1/2,y,z'
'-x,y+1/2,-z'
'x,-y+1/2,z'
loop_
_atom_site_label
_atom_site_fract_x
_atom_site_fract_y
_atom_site_fract_z
_atom_site_occupancy
Ba1 0.002 0.250 0.092 1
Ba2 0.022 0.750 0.474 1
Ba3 0.250 0.522 0.701 1
Cd1 0.250 0.250 0.805 1
In1 0.250 0.037 0.312 1
O1 0.250 0.750 0.727 1


15.
# GGA-PBE Rb12Ag3Au5, relaxed
# * DFT formation energy: -0.664 eV per formula unit
# * E_tot: -297.723 eV per cell
# * magnetic moment: 0.00 μB per formula unit
data_Rb12Ag3Au5
_chemical_formula_sum 'Rb96 Ag24 Au40'
_space_group_name_H-M_alt 'I a -3 d'
_space_group_IT_number 230
_space_group_name_Hall '-I 4bd 2c 3'
_cell_length_a 20.870
_cell_length_b 20.870
_cell_length_c 20.870
_cell_angle_alpha 90.00
_cell_angle_beta 90.00
_cell_angle_gamma 90.00
loop_
_atom_site_label
_atom_site_fract_x
_atom_site_fract_y
_atom_site_fract_z
_atom_site_occupancy
Rb1 0.022 0.069 0.651 1
Ag1 0.000 0.250 0.125 1
Au1 0.000 0.000 0.000 1
Au2 0.000 0.250 0.375 1


16.
# GGA-PBE AcPm3Y12, relaxed
# * DFT formation energy: 0.485 eV per formula unit
# * E_tot: -95.444 eV per cell
# * magnetic moment: 0.00 μB per formula unit
data_AcPm3Y12
_chemical_formula_sum 'Ac1 Pm3 Y12'
_space_group_name_H-M_alt 'P 4/m m m'
_space_group_IT_number 123
_space_group_name_Hall '-P 4 2'
_cell_length_a 5.105
_cell_length_b 5.105
_cell_length_c 20.459
_cell_angle_alpha 90.00
_cell_angle_beta 90.00
_cell_angle_gamma 90.00
loop_
_atom_site_label
_atom_site_fract_x
_atom_site_fract_y
_atom_site_fract_z
_atom_site_occupancy
Ac1 0.000 0.000 0.000 1
Pm1 0.000 0.000 0.252 1
Pm2 0.000 0.000 0.500 1
Y1 0.000 0.500 0.130 1
Y2 0.000 0.500 0.376 1
Y3 0.500 0.500 0.000 1
Y4 0.500 0.500 0.253 1
Y5 0.500 0.500 0.500 1


17.
# GGA-PBE TlCr2Sn, relaxed
# * DFT formation energy: 2.152 eV per formula unit
# * E_tot: -93.857 eV per cell
# * magnetic moment: 7.80 μB per formula unit
# * energy above the lowest structure with this stoichiometry: 0.000 eV/f.u.
data_TlCr2Sn
_chemical_formula_sum 'Tl4 Cr8 Sn4'
_space_group_name_H-M_alt 'F m -3 m'
_space_group_IT_number 225
_space_group_name_Hall '-F 4 2 3'
_cell_length_a 6.866
_cell_length_b 6.866
_cell_length_c 6.866
_cell_angle_alpha 90.00
_cell_angle_beta 90.00
_cell_angle_gamma 90.00
loop_
_atom_site_label
_atom_site_fract_x
_atom_site_fract_y
_atom_site_fract_z
_atom_site_occupancy
Tl1 0.000 0.000 0.000 1
Cr1 0.250 0.250 0.250 1
Sn1 0.000 0.000 0.500 1


18.
# GGA-PBE NbTe2PtI, relaxed
# * E_tot: -20.110 eV per cell
# * magnetic moment: 0.00 μB per formula unit
# * E_form (uncorrected): 766.9 meV/atom
# * energy above the lowest structure with this stoichiometry: 0.000 eV/f.u.
data_NbTe2PtI
_chemical_formula_sum 'Nb1 Te2 Pt1 I1'
_space_group_name_H-M_alt 'P 4/m m m'
_space_group_IT_number 123
_space_group_name_Hall '-P 4 2'
_cell_length_a 5.370
_cell_length_b 5.370
_cell_length_c 5.402
_cell_angle_alpha 90.00
_cell_angle_beta 90.00
_cell_angle_gamma 90.00
loop_
_atom_site_label
_atom_site_fract_x
_atom_site_fract_y
_atom_site_fract_z
_atom_site_occupancy
Nb1 0.000 0.000 0.000 1
Te1 0.000 0.500 0.000 1
Pt1 0.500 0.500 0.500 1
I1 0.000 0.000 0.500 1


19.
# GGA-PBE Rb4Ho3US8, relaxed
# * E_tot: -267.883 eV per cell
# * magnetic moment: 3.00 μB per formula unit
# * E_form (uncorrected): -1711.4 meV/atom
data_Rb4Ho3US8
_chemical_formula_sum 'Rb12 Ho9 U3 S24'
_space_group_name_H-M_alt 'R -3 m'
_space_group_IT_number 166
_space_group_name_Hall '-R 3 2"'
_cell_length_a 8.1502
_cell_length_b 8.1502
_cell_length_c 23.0716
_cell_angle_alpha 90.00
_cell_angle_beta 90.00
_cell_angle_gamma 120.00
loop_
_atom_site_label
_atom_site_fract_x
_atom_site_fract_y
_atom_site_fract_z
_atom_site_occupancy
Rb1 0.0000 0.0000 0.0000 1
Rb2 0.0000 0.5000 0.0000 1
Ho1 0.0000 0.5000 0.5000 1
U1 0.0000 0.0000 0.5000 1
S1 0.0000 0.0000 0.2304 1
S2 0.0021 0.5011 0.7694 1


20.
# GGA-PBE SiPb, relaxed
# * E_tot: -31.206 eV per cell
# * magnetic moment: 0.00 μB per formula unit
# * E_form (uncorrected): 664.9 meV/atom
data_SiPb
_chemical_formula_sum 'Si4 Pb4'
_space_group_name_H-M_alt 'P 63/m m c'
_space_group_IT_number 194
_space_group_name_Hall '-P 6c 2c'
_cell_length_a 5.5121
_cell_length_b 5.5121
_cell_length_c 8.2205
_cell_angle_alpha 90.00
_cell_angle_beta 90.00
_cell_angle_gamma 120.00
loop_
_atom_site_label
_atom_site_fract_x
_atom_site_fract_y
_atom_site_fract_z
_atom_site_occupancy
Si1 0.3333 0.6667 0.1092 1
Pb1 0.0000 0.0000 0.2500 1
Pb2 0.3333 0.6667 0.7500 1